# BaSc2Cl

A geometry-optimized BaSc2Cl structure (PBEsol, Alexandria via LeMat-Bulk).

```
BaSc2Cl
1.0
3.404 0.000 0.000
0.000 3.404 0.000
0.000 0.000 9.278
Ba Sc Cl
1 2 1
direct
0.000 0.000 0.000
0.000 0.000 0.448
0.500 0.500 0.671
0.500 0.500 0.251
```

Calculated values
Calculated total energy ... -19.3 eV per cell
ΔE_f (raw) ... -472 meV/atom
Symmetry ... P4mm


# Si2AuSe

A geometry-optimized Si2AuSe structure (PBEsol, Alexandria via LeMat-Bulk).

```
Si2AuSe
1.0
2.781 0.000 0.000
0.000 3.336 0.000
0.000 0.000 7.274
Si Au Se
2 1 1
direct
0.000 0.000 0.000
0.500 0.500 0.213
0.000 0.000 0.434
0.500 0.500 0.745
```

Calculated values
Calculated total energy ... -18.0 eV per cell
ΔE_f (raw) ... 319 meV/atom
Symmetry ... Pmm2


# HfRu3S

A geometry-optimized HfRu3S structure (PBEsol, Alexandria via LeMat-Bulk).

```
HfRu3S
1.0
4.283 0.000 0.000
0.000 4.283 0.000
0.000 0.000 4.283
Hf Ru S
1 3 1
direct
0.000 0.000 0.000
0.000 0.500 0.500
0.500 0.000 0.500
0.500 0.500 0.000
0.500 0.500 0.500
```

Calculated values
Calculated total energy ... -45.3 eV per cell
ΔE_f (raw) ... 20 meV/atom
Symmetry ... Pm-3m